(A)
Material: WSe2Br
Method: DFT, PBE
State: optimized geometry

abc: 6.2480 6.2480 6.4479
angles: 91.08 91.08 119.19
With the nearest neighbours (Å) after each atom.
Positions (direct):
W (0.1317, 0.8683, 0.0000)  3 Se 2.37-2.44
W (0.8683, 0.1317, 0.0000)  3 Se 2.37-2.44
Se (0.1050, 0.1050, 0.7133)  2 W 2.44
Se (0.1428, 0.4930, 0.1936)  1 W 2.37
Se (0.4930, 0.1428, 0.1936)  1 W 2.37
Se (0.8172, 0.8172, 0.2428)  2 W 2.44
Br (0.4761, 0.8351, 0.7597)  2 W 2.68-2.76
Br (0.8351, 0.4761, 0.7597)  2 W 2.68-2.76

(B)
Material: WSe2Br
Method: DFT, PBE
State: optimized geometry

abc: 7.1806 7.1806 7.2429
angles: 94.50 94.50 119.31
With the nearest neighbours (Å) after each atom.
Positions (direct):
W (0.1242, 0.1242, 0.3669)  3 Se 2.26-2.42, 1 Br 2.40
W (0.8758, 0.8758, 0.6331)  3 Se 2.26-2.42, 1 Br 2.40
Se (0.2047, 0.2212, 0.7031)  2 W 2.42
Se (0.3776, 0.0534, 0.2698)  1 W 2.26
Se (0.7788, 0.7953, 0.2969)  2 W 2.42
Se (0.9466, 0.6224, 0.7302)  1 W 2.26
Br (0.1080, 0.4077, 0.2258)  1 W 2.40
Br (0.5923, 0.8920, 0.7742)  1 W 2.40

(C)
Material: WSe2Br
Method: DFT, PBE
State: optimized geometry

abc: 5.2273 5.2273 3.3870
angles: 90.00 90.00 120.98
With the nearest neighbours (Å) after each atom.
Positions (direct):
W (0.0000, 0.0000, 0.0000)  2 Br 2.57
Se (0.0000, 0.5000, 0.5000)  2 Se 2.57
Se (0.5000, 0.0000, 0.5000)  2 Se 2.57
Br (0.5000, 0.5000, 0.0000)  2 W 2.57

(D)
Material: WSe2Br
Method: DFT, PBE
State: optimized geometry

abc: 3.9792 3.9792 5.2623
angles: 90.00 90.00 90.00
With the nearest neighbours (Å) after each atom.
Positions (direct):
W (0.0000, 0.0000, 0.0000)  4 Br 2.81
Se (0.0000, 0.5000, 0.5000)  4 Se 2.81
Se (0.5000, 0.0000, 0.5000)  4 Se 2.81
Br (0.5000, 0.5000, 0.0000)  4 W 2.81

On energetic grounds, (A) is preferred over the next structure by 0.037 eV/atom.

(A)
Material: WSe2Br
Method: DFT, PBE
State: optimized geometry

abc: 6.2531 6.2554 7.0917
angles: 70.74 81.36 60.76
With the nearest neighbours (Å) after each atom.
Positions (direct):
W (0.0000, 0.0000, 0.0000)  3 Se 2.37-2.44
W (0.2637, 0.2634, 0.9997)  3 Se 2.37-2.44
Se (0.2412, 0.1230, 0.7241)  2 W 2.44
Se (0.2694, 0.5749, 0.1859)  1 W 2.37
Se (0.6205, 0.9262, 0.1866)  1 W 2.37
Se (0.9414, 0.2380, 0.2309)  2 W 2.43
Br (0.6139, 0.3737, 0.7670)  2 W 2.68-2.76
Br (0.9752, 0.7350, 0.7665)  2 W 2.68-2.77

(B)
Material: WSe2Br
Method: DFT, PBE
State: optimized geometry

abc: 13.0013 13.0013 13.0013
angles: 12.79 12.79 12.79
With the nearest neighbours (Å) after each atom.
Positions (direct):
W (0.0000, 0.0000, 0.0000)  2 Se 2.57
Se (0.0664, 0.0664, 0.0664)  1 W 2.57
Se (0.9336, 0.9336, 0.9336)  1 W 2.57
Br (0.5000, 0.5000, 0.5000)  6 Br 2.90

On energetic grounds, (A) is preferred over the next structure by 0.878 eV/atom.

(A)
Material: WSeBr3
Method: DFT, PBE
State: optimized geometry

abc: 7.0597 7.0597 6.8602
angles: 90.00 90.00 112.24
With the nearest neighbours (Å) after each atom.
Positions (direct):
W (0.0130, 0.9870, 0.7500)  1 Se 2.26
W (0.9870, 0.0130, 0.2500)  1 Se 2.26
Se (0.2054, 0.7946, 0.7500)  1 W 2.26
Se (0.7946, 0.2054, 0.2500)  1 W 2.26
Br (0.2122, 0.7878, 0.2500)  1 W 2.64
Br (0.2479, 0.2479, 0.0000)  2 W 2.60
Br (0.2479, 0.2479, 0.5000)  2 W 2.60
Br (0.7521, 0.7521, 0.0000)  2 W 2.60
Br (0.7521, 0.7521, 0.5000)  2 W 2.60
Br (0.7878, 0.2122, 0.7500)  1 W 2.64

(B)
Material: WSeBr3
Method: DFT, PBE
State: optimized geometry

abc: 5.0325 5.0325 5.0325
angles: 90.00 90.00 90.00
With the nearest neighbours (Å) after each atom.
Positions (direct):
W (0.0000, 0.0000, 0.0000)  6 Br 2.52
Se (0.5000, 0.5000, 0.5000)  12 Br 3.56
Br (0.0000, 0.0000, 0.5000)  2 W 2.52
Br (0.0000, 0.5000, 0.0000)  2 W 2.52
Br (0.5000, 0.0000, 0.0000)  2 W 2.52

(C)
Material: WSeBr3
Method: DFT, PBE
State: optimized geometry

abc: 5.3565 5.3565 5.3565
angles: 90.00 90.00 90.00
With the nearest neighbours (Å) after each atom.
Positions (direct):
W (0.0000, 0.0000, 0.0000)  12 Br 3.79
Se (0.5000, 0.5000, 0.5000)  6 Br 2.68
Br (0.0000, 0.5000, 0.5000)  2 Se 2.68
Br (0.5000, 0.0000, 0.5000)  2 Se 2.68
Br (0.5000, 0.5000, 0.0000)  2 Se 2.68

On energetic grounds, (A) is preferred over the next structure by 0.884 eV/atom.

(A)
Material: W2Se2Br
Method: DFT, PBE
State: optimized geometry

abc: 11.0651 11.0651 11.0651
angles: 163.33 163.33 23.66
With the nearest neighbours (Å) after each atom.
Positions (direct):
W (0.1128, 0.1128, 0.0000)  1 Br 2.44, 4 Se 2.58
W (0.8872, 0.8872, 0.0000)  1 Br 2.44, 4 Se 2.58
Se (0.3304, 0.3304, 0.0000)  4 W 2.58
Se (0.6696, 0.6696, 0.0000)  4 W 2.58
Br (0.0000, 0.0000, 0.0000)  2 W 2.44

(B)
Material: W2Se2Br
Method: DFT, PBE
State: optimized geometry

abc: 8.5403 8.5403 8.5403
angles: 154.69 154.69 36.10
With the nearest neighbours (Å) after each atom.
Positions (direct):
W (0.2500, 0.7500, 0.5000)  4 Se 2.64, 4 W 2.65
W (0.7500, 0.2500, 0.5000)  4 Se 2.64, 4 W 2.65
Se (0.1351, 0.1351, 0.0000)  4 W 2.64
Se (0.8649, 0.8649, 0.0000)  4 W 2.64
Br (0.5000, 0.5000, 0.0000)  8 Se 3.44, 4 Br 3.74

On energetic grounds, (B) is preferred over the next structure by 0.431 eV/atom.

(A)
Material: YWSeBr2
Method: DFT, PBE
State: optimized geometry

abc: 5.4263 5.4263 5.6704
angles: 90.00 90.00 90.00
With the nearest neighbours (Å) after each atom.
Positions (direct):
Y (0.0000, 0.0000, 0.0000)  4 Br 2.71, 2 Se 2.84
W (0.5000, 0.5000, 0.5000)  4 Se 3.84, 8 Br 3.92
Se (0.0000, 0.0000, 0.5000)  2 Y 2.84
Br (0.0000, 0.5000, 0.0000)  2 Y 2.71
Br (0.5000, 0.0000, 0.0000)  2 Y 2.71

(B)
Material: YWSeBr2
Method: DFT, PBE
State: optimized geometry

abc: 5.1185 5.1185 4.9645
angles: 90.00 90.00 90.00
With the nearest neighbours (Å) after each atom.
Positions (direct):
Y (0.0000, 0.0000, 0.0000)  8 Br 3.57, 4 Se 3.62
W (0.5000, 0.5000, 0.5000)  2 Se 2.48, 4 Br 2.56
Se (0.5000, 0.5000, 0.0000)  2 W 2.48
Br (0.0000, 0.5000, 0.5000)  2 W 2.56
Br (0.5000, 0.0000, 0.5000)  2 W 2.56

On energetic grounds, (B) is preferred over the next structure by 0.062 eV/atom.

(A)
Material: ZnWSeBr2
Method: DFT, PBE
State: optimized geometry

abc: 4.9010 4.9010 5.2937
angles: 90.00 90.00 90.00
With the nearest neighbours (Å) after each atom.
Positions (direct):
Zn (0.0000, 0.0000, 0.0000)  4 Br 2.45, 2 Se 2.65
W (0.5000, 0.5000, 0.5000)  4 Se 3.47, 8 Br 3.61
Se (0.0000, 0.0000, 0.5000)  2 Zn 2.65
Br (0.0000, 0.5000, 0.0000)  2 Zn 2.45
Br (0.5000, 0.0000, 0.0000)  2 Zn 2.45

(B)
Material: ZnWSeBr2
Method: DFT, PBE
State: optimized geometry

abc: 5.2877 5.2877 4.8615
angles: 90.00 90.00 90.00
With the nearest neighbours (Å) after each atom.
Positions (direct):
Zn (0.0000, 0.0000, 0.0000)  8 Br 3.59, 4 Se 3.74
W (0.5000, 0.5000, 0.5000)  2 Se 2.43, 4 Br 2.64
Se (0.5000, 0.5000, 0.0000)  2 W 2.43
Br (0.0000, 0.5000, 0.5000)  2 W 2.64
Br (0.5000, 0.0000, 0.5000)  2 W 2.64

On energetic grounds, (B) is preferred over the next structure by 0.695 eV/atom.